1.
Nd2PaIn | PBE | optimized geometry

The structure in extended XYZ format:
```
4
Lattice="-2.6880 -2.0086 -3.2015 -1.7266 -3.1596 3.4319 -3.6674 3.1810 1.0834" Properties=species:S:1:pos:R:3 pbc="T T T"
In -1.3440 -1.0043 -1.6008
Nd -1.8337 1.5905 0.5417
Nd -0.8633 -1.5798 1.7160
Pa -4.0410 -0.9936 0.6569
```

Results
excess energy over the best structure of this formula in the dataset: 30 meV per atom
space-group type: P4/mmm, No. 123
final energy: -5.4601 eV per atom
density of states at the Fermi level: 5.91 states/eV per cell
ΔH_f (0 K): -0.0176 eV per atom

2.
Nd2PaIn | PBE | optimized geometry

The structure in extended XYZ format:
```
4
Lattice="-0.2752 0.6089 3.2477 0.9718 -2.2802 2.2024 11.4790 4.2808 1.8629" Properties=species:S:1:pos:R:3 pbc="T T T"
Nd 3.7191 -0.3711 5.4626
Nd 8.4565 2.9806 1.8505
In 6.0878 1.3047 3.6565
Pa 0.0000 0.0000 0.0000
```

Results
excess energy over the best structure of this formula in the dataset: 234 meV per atom
space-group type: R-3m, No. 166
final energy: -5.2568 eV per atom
density of states at the Fermi level: 5.91 states/eV per cell
ΔH_f (0 K): 0.1858 eV per atom

3.
NdPa2In9 | PBE | optimized geometry

The structure in extended XYZ format:
```
12
Lattice="-1.1034 4.3224 1.3713 -3.0760 -1.7504 3.0422 9.9974 -0.5540 9.7899" Properties=species:S:1:pos:R:3 pbc="T T T"
In 1.1457 2.0671 2.3479
In 6.7619 -1.3351 9.6488
In 7.7482 1.7013 8.8134
In 0.1594 -0.9693 3.1833
In 4.4470 1.8842 5.5806
In 4.5585 0.9176 8.7170
In 1.2594 1.1004 5.4864
In -2.0897 1.2860 2.2068
In 3.4607 -1.1522 6.4160
Pa 6.6482 -0.3684 6.5102
Pa 3.3492 -0.1856 3.2796
Nd 0.0000 0.0000 0.0000
```

Results
space-group type: P4/mmm, No. 123
final energy: -4.2801 eV per atom
density of states at the Fermi level: 11.75 states/eV per cell
ΔH_f (0 K): -0.2463 eV per atom

4.
Nd2PaIn9 | PBE | optimized geometry

The structure in extended XYZ format:
```
12
Lattice="-3.4874 -2.4918 -1.8935 0.3403 -3.1201 3.4793 -9.3429 7.3637 7.5172" Properties=species:S:1:pos:R:3 pbc="T T T"
In -9.5616 4.9158 5.3435
In -7.6477 4.6017 8.0299
In -6.4152 2.4359 2.8119
In -1.5735 -2.8060 0.7929
In -4.5013 2.1218 5.4983
In -3.2687 -0.0440 0.2803
In -7.8146 2.1129 5.8144
In -4.6754 -0.3612 3.2887
In -1.3549 -0.3581 2.9667
Pa 0.0000 0.0000 0.0000
Nd -3.0976 2.4414 2.4923
Nd -6.2453 4.9222 5.0249
```

Results
space-group type: P4/mmm, No. 123
final energy: -4.0018 eV per atom
density of states at the Fermi level: 7.15 states/eV per cell
ΔH_f (0 K): -0.3620 eV per atom

5.
Nd2PaIn | PBE | optimized geometry

The structure in extended XYZ format:
```
4
Lattice="-0.4892 -3.3836 -0.1128 3.3620 -0.4990 0.3861 -1.1551 -0.1614 9.8488" Properties=species:S:1:pos:R:3 pbc="T T T"
Nd -0.2948 -0.0412 2.5140
Nd -0.8602 -0.1202 7.3348
In 0.8588 -2.0220 5.0611
Pa 1.4364 -1.9413 0.1367
```

Results
excess energy over the best structure of this formula in the dataset: 0 meV per atom
space-group type: P4/mmm, No. 123
final energy: -5.4903 eV per atom
density of states at the Fermi level: 6.53 states/eV per cell
ΔH_f (0 K): -0.0478 eV per atom

6.
Nd3PaIn3Se8 | PBE | optimized geometry

The structure in extended XYZ format:
```
15
Lattice="-3.1427 -7.7955 1.4284 8.2700 0.9957 -1.8144 -2.9001 2.6882 8.2902" Properties=species:S:1:pos:R:3 pbc="T T T"
In 0.0000 0.0000 0.0000
In 4.1350 0.4978 -0.9072
In 2.5636 -3.3999 -0.1930
Se -3.0919 -5.2003 3.4747
Se 3.6867 -2.9601 5.1713
Se 1.2035 -4.6833 2.5325
Se 5.3190 1.0887 4.4295
Se -1.4596 -1.1516 2.7329
Se 1.0236 0.5716 5.3717
Se -0.4511 -3.3588 6.1206
Se 2.6782 -0.7529 1.7836
Nd 1.1135 -2.0558 3.9521
Nd -3.0214 -2.5537 4.8593
Nd 2.6849 1.8419 3.2379
Pa -1.4501 1.3441 4.1451
```

Results
space-group type: R-3m, No. 166
final energy: -5.2933 eV per atom
density of states at the Fermi level: 5.92 states/eV per cell
energy relative to the elements, uncorrected: -1.30 eV per atom